1.
SmGePb: optimized geometry, GGA-PBE.

Output
- total moment (μB/f.u.) = 0.00
- volume (A^3/atom) = 30.99
- VASP energy (eV/atom) = -4.390

a b c (Å): 5.085 5.085 5.085
angles (deg): 60.00 60.00 60.00
Positions (direct):
Sm 0.000 0.000 0.000
Ge 0.750 0.750 0.750
Pb 0.250 0.250 0.250

***

2.
SmGePb: optimized geometry, GGA-PBE.

Output
- total moment (μB/f.u.) = 0.00
- volume (A^3/atom) = 29.74
- VASP energy (eV/atom) = -4.572

a b c (Å): 5.016 5.016 5.016
angles (deg): 60.00 60.00 60.00
Positions (direct):
Sm 0.000 0.000 0.000
Ge 0.750 0.750 0.750
Pb 0.500 0.500 0.500

***

3.
Sm2Ge2Pb: optimized geometry, GGA-PBE.

Output
- total moment (μB/f.u.) = 0.00
- volume (A^3/atom) = 25.32
- VASP energy (eV/atom) = -5.180

a b c (Å): 7.705 7.705 4.265
angles (deg): 90.00 90.00 90.00
Positions (direct):
Sm 0.179 0.321 0.000
Sm 0.321 0.821 0.000
Sm 0.679 0.179 0.000
Sm 0.821 0.679 0.000
Ge 0.117 0.617 0.500
Ge 0.383 0.117 0.500
Ge 0.617 0.883 0.500
Ge 0.883 0.383 0.500
Pb 0.000 0.000 0.500
Pb 0.500 0.500 0.500

***

4.
SmGeTe3Pb: optimized geometry, GGA-PBE.

Output
- total moment (μB/f.u.) = 0.01
- volume (A^3/atom) = 31.13
- VASP energy (eV/atom) = -4.277

a b c (Å): 7.919 7.919 11.149
angles (deg): 90.00 90.00 147.71
Positions (direct):
Sm 0.000 0.000 0.000
Sm 0.000 0.000 0.500
Ge 0.473 0.527 0.750
Ge 0.527 0.473 0.250
Te 0.107 0.893 0.750
Te 0.352 0.648 0.542
Te 0.352 0.648 0.958
Te 0.648 0.352 0.042
Te 0.648 0.352 0.458
Te 0.893 0.107 0.250
Pb 0.225 0.775 0.250
Pb 0.775 0.225 0.750

***

5.
TaGePb: optimized geometry, GGA-PBE.

Output
- total moment (μB/f.u.) = 0.03
- volume (A^3/atom) = 24.46
- VASP energy (eV/atom) = -5.935

a b c (Å): 4.699 4.699 4.699
angles (deg): 60.00 60.00 60.00
Positions (direct):
Ta 0.000 0.000 0.000
Ge 0.750 0.750 0.750
Pb 0.250 0.250 0.250

***

6.
TaGePb: optimized geometry, GGA-PBE.

Output
- total moment (μB/f.u.) = 0.05
- volume (A^3/atom) = 23.57
- VASP energy (eV/atom) = -5.854

a b c (Å): 4.642 4.642 4.642
angles (deg): 60.00 60.00 60.00
Positions (direct):
Ta 0.000 0.000 0.000
Ge 0.750 0.750 0.750
Pb 0.500 0.500 0.500

***

7.
Tb2GePb: optimized geometry, GGA-PBE.

Output
- total moment (μB/f.u.) = 0.01
- volume (A^3/atom) = 26.35
- VASP energy (eV/atom) = -5.029

a b c (Å): 4.192 6.071 6.071
angles (deg): 43.02 90.00 90.00
Positions (direct):
Tb 0.000 0.000 0.000
Tb 0.500 0.274 0.274
Ge 0.000 0.739 0.739
Pb 0.500 0.552 0.552

***

8.
TbGeTe3Pb: optimized geometry, GGA-PBE.

Output
- total moment (μB/f.u.) = 0.00
- volume (A^3/atom) = 30.74
- VASP energy (eV/atom) = -4.251

a b c (Å): 7.835 7.835 11.143
angles (deg): 90.00 90.00 147.36
Positions (direct):
Tb 0.000 0.000 0.000
Tb 0.000 0.000 0.500
Ge 0.472 0.528 0.750
Ge 0.528 0.472 0.250
Te 0.105 0.895 0.750
Te 0.354 0.646 0.539
Te 0.354 0.646 0.961
Te 0.646 0.354 0.039
Te 0.646 0.354 0.461
Te 0.895 0.105 0.250
Pb 0.224 0.776 0.250
Pb 0.776 0.224 0.750

***

9.
TbTmGe2Pb2: optimized geometry, GGA-PBE.

Output
- total moment (μB/f.u.) = 0.01
- volume (A^3/atom) = 24.82
- VASP energy (eV/atom) = -4.756

a b c (Å): 4.087 8.538 8.538
angles (deg): 29.99 90.00 90.00
Positions (direct):
Tb 0.000 0.000 0.000
Tm 0.500 0.821 0.821
Ge 0.000 0.354 0.354
Ge 0.500 0.462 0.462
Pb 0.000 0.648 0.648
Pb 0.500 0.175 0.175

***

10.
TcGe2Pb: optimized geometry, GGA-PBE.

Output
- total moment (μB/f.u.) = 0.91
- volume (A^3/atom) = 19.28
- VASP energy (eV/atom) = -5.167

a b c (Å): 4.778 4.778 4.778
angles (deg): 60.00 60.00 60.00
Positions (direct):
Tc 0.000 0.000 0.000
Ge 0.500 0.500 0.500
Ge 0.750 0.750 0.750
Pb 0.250 0.250 0.250

***

11.
TcGePb2: optimized geometry, GGA-PBE.

Output
- total moment (μB/f.u.) = 0.99
- volume (A^3/atom) = 22.18
- VASP energy (eV/atom) = -4.842

a b c (Å): 5.006 5.006 5.006
angles (deg): 60.00 60.00 60.00
Positions (direct):
Tc 0.000 0.000 0.000
Ge 0.250 0.250 0.250
Pb 0.500 0.500 0.500
Pb 0.750 0.750 0.750

***

12.
TmGeTe3Pb: optimized geometry, GGA-PBE.

Output
- total moment (μB/f.u.) = 0.01
- volume (A^3/atom) = 30.38
- VASP energy (eV/atom) = -4.196

a b c (Å): 7.781 7.781 11.168
angles (deg): 90.00 90.00 147.38
Positions (direct):
Tm 0.000 0.000 0.000
Tm 0.000 0.000 0.500
Ge 0.468 0.532 0.750
Ge 0.532 0.468 0.250
Te 0.100 0.900 0.750
Te 0.356 0.644 0.536
Te 0.356 0.644 0.964
Te 0.644 0.356 0.036
Te 0.644 0.356 0.464
Te 0.900 0.100 0.250
Pb 0.228 0.772 0.250
Pb 0.772 0.228 0.750